one:
Here is a relaxed KAl2F crystal from Alexandria. Energies are from PBE.

- DOS(E_F) (states/eV/f.u.) = 5.3

abc: 5.2338 5.2338 5.2338
angles: 60.00 60.00 60.00
Element x y z (fractional)
F: 0.0000 0.0000 0.0000
Al: 0.2500 0.2500 0.2500
K: 0.5000 0.5000 0.5000
Al: 0.7500 0.7500 0.7500

two:
Here is a relaxed KAl2F crystal from Alexandria. Energies are from PBE.

- DOS(E_F) (states/eV/f.u.) = 1.6

abc: 4.9439 4.9439 9.3156
angles: 74.61 74.61 90.00
Element x y z (fractional)
F: 0.2500 0.7500 0.5000
Al: 0.3178 0.6250 0.2500
F: 0.5000 0.5000 0.0000
K: 0.0000 0.0000 0.0000
Al: 0.4322 0.1250 0.2500
Al: 0.3750 0.5678 0.7500
K: 0.7500 0.2500 0.5000
Al: 0.8750 0.6822 0.7500

The structure with the most favorable energy is two; the runner-up is 61.0 kJ/mol of atoms above it.

one:
Here is a relaxed KAlOF2 crystal from Alexandria. Energies are from PBE.

- DOS(E_F) (states/eV/f.u.) = 0.0

abc: 4.0599 4.0599 3.5589
angles: 90.00 90.00 90.00
Element x y z (fractional)
Al: 0.0000 0.0000 0.0000
F: 0.0000 0.5000 0.0000
F: 0.5000 0.0000 0.0000
K: 0.5000 0.5000 0.5000
O: 0.0000 0.0000 0.5000

two:
Here is a relaxed KAlOF2 crystal from Alexandria. Energies are from PBE.

- DOS(E_F) (states/eV/f.u.) = 3.1

abc: 4.7102 4.7102 4.8109
angles: 90.00 90.00 90.00
Element x y z (fractional)
F: 0.5000 0.0000 0.0000
Al: 0.5000 0.5000 0.5000
K: 0.0000 0.0000 0.0000
O: 0.0000 0.0000 0.5000
F: 0.0000 0.5000 0.0000

The structure with the most favorable energy is one; the runner-up is 223.2 kJ/mol of atoms above it.

one:
Here is a relaxed LiAl3F crystal from Alexandria. Energies are from PBE.

- DOS(E_F) (states/eV/f.u.) = 2.7

abc: 4.5349 4.5349 4.5349
angles: 90.00 90.00 90.00
Element x y z (fractional)
Al: 0.5000 0.0000 0.0000
Al: 0.0000 0.5000 0.0000
Li: 0.5000 0.5000 0.5000
F: 0.0000 0.0000 0.0000
Al: 0.0000 0.0000 0.5000

two:
Here is a relaxed LiAl3F crystal from Alexandria. Energies are from PBE.

- DOS(E_F) (states/eV/f.u.) = 1.3

abc: 4.4752 4.4752 4.4752
angles: 90.00 90.00 90.00
Element x y z (fractional)
Al: 0.5000 0.0000 0.0000
Li: 0.0000 0.0000 0.0000
Al: 0.0000 0.5000 0.0000
F: 0.5000 0.5000 0.5000
Al: 0.0000 0.0000 0.5000

The structure with the most favorable energy is one; the runner-up is 29.9 kJ/mol of atoms above it.